(1)
DFT (PBE) results for an optimized crystal structure of LiTaZnPt.

```
LiTaZnPt
1.0
1.7839 -1.7902 3.5090
-1.8155 -3.4819 1.8112
1.9464 -3.8507 -0.2894
Ta Pt Li Zn
1 1 1 1
Cartesian
0.9574 -4.5614 2.5154
0.0000 0.0000 0.0000
1.4361 -6.8422 3.7731
0.4787 -2.2807 1.2577
```

Calculated values
Space group: No. 216
Total magnetic moment: 0.0 μB/cell
Distance to the lowest polymorph of the same formula: 375.3 meV/atom


(2)
DFT (PBE) results for an optimized crystal structure of LiTaZnPt.

```
LiTaZnPt
1.0
-4.2461 0.1650 1.1324
-2.4523 3.4610 -1.1606
-3.1141 -0.4433 -3.0733
Li Zn Ta Pt
1 1 1 1
Cartesian
-7.3594 2.3870 -2.3262
0.0000 0.0000 0.0000
-2.4531 0.7957 -0.7754
-4.9063 1.5913 -1.5508
```

Calculated values
Space group: No. 216
Total magnetic moment: 0.0 μB/cell
Distance to the lowest polymorph of the same formula: 87.2 meV/atom


(3)
DFT (PBE) results for an optimized crystal structure of LiTbPt.

```
LiTbPt
1.0
3.7971 -1.9084 0.9371
1.8731 0.6659 3.8712
0.1543 -3.2185 2.9249
Pt Tb Li
1 1 1
Cartesian
1.4561 -1.1153 1.9333
4.3683 -3.3458 5.7999
0.0000 0.0000 0.0000
```

Calculated values
Space group: No. 216
Total magnetic moment: 0.0 μB/cell
Uncorrected energy: -4.683 eV per atom


(4)
DFT (PBE) results for an optimized crystal structure of LiTePt.

```
LiTePt
1.0
0.0000 3.1038 3.1038
3.1038 0.0000 3.1038
3.1038 3.1038 0.0000
Li Pt Te
1 1 1
Cartesian
1.5519 1.5519 1.5519
0.0000 0.0000 0.0000
4.6557 4.6557 4.6557
```

Calculated values
Space group: No. 216
Total magnetic moment: 0.0 μB/cell
Distance to the lowest polymorph of the same formula: 0.0 meV/atom


(5)
DFT (PBE) results for an optimized crystal structure of LiTe5Pt3.

```
LiTe5Pt3
1.0
6.6204 0.0000 0.0000
-3.3102 5.7334 0.0000
0.0000 0.0000 7.3120
Li Pt Te
1 3 5
Cartesian
0.0000 0.0000 0.0000
-1.6551 2.8667 3.6560
3.3102 0.0000 3.6560
1.6551 2.8667 3.6560
3.3102 1.9111 1.8186
0.0000 0.0000 3.6560
3.3102 1.9111 5.4934
0.0000 3.8223 1.8186
0.0000 3.8223 5.4934
```

Calculated values
Space group: No. 191
Total magnetic moment: 0.0 μB/cell
Uncorrected energy: -4.076 eV per atom


(6)
DFT (PBE) results for an optimized crystal structure of LiThPt4.

```
LiThPt4
1.0
-3.6017 -4.0212 -0.1180
-3.0229 -1.0454 4.3503
-5.2842 1.1093 -0.0542
Pt Li Th
4 1 1
Cartesian
-4.7933 -3.0349 2.6421
-5.6401 -0.4527 2.6742
-5.9314 -1.9504 0.4252
-7.4529 -2.4766 2.6148
0.0000 0.0000 0.0000
-2.9772 -0.9893 1.0445
```

Calculated values
Space group: No. 216
Total magnetic moment: 0.0 μB/cell
Uncorrected energy: -6.529 eV per atom


(7)
DFT (PBE) results for an optimized crystal structure of Li4ThPt2.

```
Li4ThPt2
1.0
-7.3724 1.5505 1.4302
-2.1087 -5.2868 -5.1386
-0.0283 -2.8478 2.9415
Li Th Pt
8 2 4
Cartesian
-7.3871 -1.8934 0.9454
-1.9292 -1.8820 -1.8406
-5.0001 -0.9527 1.8790
-2.1223 -4.6907 -1.7123
-7.5520 -1.8543 -1.8678
-6.2268 -3.5757 -3.5216
-3.2544 -0.1607 -0.1868
-4.5093 -5.6314 -2.6460
0.0000 0.0000 0.0000
-4.7547 -3.2920 -0.3835
-3.7080 -3.2094 -3.1428
-1.8740 -2.1568 0.7433
-7.6354 -4.4273 -1.5102
-5.7731 -0.5269 -0.5656
```

Calculated values
Space group: No. 136
Total magnetic moment: 0.0 μB/cell
Uncorrected energy: -4.499 eV per atom


(8)
DFT (PBE) results for an optimized crystal structure of LiTlPt2.

```
LiTlPt2
1.0
-2.6877 -3.2987 -1.6489
-2.4700 -2.5688 2.8504
-4.5370 0.4684 0.1435
Pt Tl Li
2 1 1
Cartesian
0.0000 0.0000 0.0000
-7.2711 -4.0493 1.0088
-4.8474 -2.6996 0.6725
-2.4237 -1.3498 0.3363
```

Calculated values
Space group: No. 216
Total magnetic moment: 0.0 μB/cell
Uncorrected energy: -4.335 eV per atom